No. 1
This record from Alexandria describes crystalline Pm6Ho2Zn at its relaxed geometry. The functional is PBE.

Cell and atoms, written as CIF:
```
data_Pm6Ho2Zn
_symmetry_space_group_name_H-M 'P 1'
_symmetry_Int_Tables_number 1
_cell_length_a 9.5001
_cell_length_b 9.5001
_cell_length_c 3.6575
_cell_angle_alpha 90.00
_cell_angle_beta 90.00
_cell_angle_gamma 120.00
loop_
_symmetry_equiv_pos_as_xyz
'x,y,z'
loop_
_atom_site_label
_atom_site_type_symbol
_atom_site_fract_x
_atom_site_fract_y
_atom_site_fract_z
Pm1 Pm 0.0000 0.3809 0.0000
Pm2 Pm 0.0000 0.7353 0.5000
Pm3 Pm 0.2647 0.2647 0.5000
Pm4 Pm 0.3809 0.0000 0.0000
Pm5 Pm 0.6191 0.6191 0.0000
Pm6 Pm 0.7353 0.0000 0.5000
Ho1 Ho 0.3333 0.6667 0.5000
Ho2 Ho 0.6667 0.3333 0.5000
Zn1 Zn 0.0000 0.0000 0.0000
```

Results
The formation energy comes out at -4.5 kJ/mol of atoms. Its density is 7.35 g/cm³. The energy is -4.37 eV per atom.

---

No. 2
This record from Alexandria describes crystalline YIn2Te at its relaxed geometry. The functional is PBE.

Cell and atoms, written as CIF:
```
data_YIn2Te
_symmetry_space_group_name_H-M 'P 1'
_symmetry_Int_Tables_number 1
_cell_length_a 9.1999
_cell_length_b 9.1999
_cell_length_c 9.1999
_cell_angle_alpha 24.60
_cell_angle_beta 24.60
_cell_angle_gamma 24.60
loop_
_symmetry_equiv_pos_as_xyz
'x,y,z'
loop_
_atom_site_label
_atom_site_type_symbol
_atom_site_fract_x
_atom_site_fract_y
_atom_site_fract_z
Y1 Y 0.0000 0.0000 0.0000
In1 In 0.2434 0.2434 0.2434
In2 In 0.7566 0.7566 0.7566
Te1 Te 0.5000 0.5000 0.5000
```

Results
For the energy relative to the elements, uncorrected, the calculation gives -0.17 eV per atom. Its density is 6.24 g/cm³. The energy is -3.94 eV per atom.

---

No. 3
This record from Alexandria describes crystalline ErLuO3 at its relaxed geometry. The functional is PBE.

Cell and atoms, written as CIF:
```
data_ErLuO3
_symmetry_space_group_name_H-M 'P 1'
_symmetry_Int_Tables_number 1
_cell_length_a 5.8329
_cell_length_b 8.2680
_cell_length_c 5.5618
_cell_angle_alpha 90.00
_cell_angle_beta 90.00
_cell_angle_gamma 90.00
loop_
_symmetry_equiv_pos_as_xyz
'x,y,z'
loop_
_atom_site_label
_atom_site_type_symbol
_atom_site_fract_x
_atom_site_fract_y
_atom_site_fract_z
Er1 Er 0.0546 0.2500 0.0207
Er2 Er 0.4454 0.7500 0.5207
Er3 Er 0.5546 0.2500 0.4793
Er4 Er 0.9454 0.7500 0.9793
Lu1 Lu 0.0000 0.0000 0.5000
Lu2 Lu 0.0000 0.5000 0.5000
Lu3 Lu 0.5000 0.0000 0.0000
Lu4 Lu 0.5000 0.5000 0.0000
O1 O 0.0773 0.7500 0.3516
O2 O 0.1896 0.5791 0.8139
O3 O 0.1896 0.9209 0.8139
O4 O 0.3104 0.0791 0.3139
O5 O 0.3104 0.4209 0.3139
O6 O 0.4227 0.2500 0.8516
O7 O 0.5773 0.7500 0.1484
O8 O 0.6896 0.5791 0.6861
O9 O 0.6896 0.9209 0.6861
O10 O 0.8104 0.0791 0.1861
O11 O 0.8104 0.4209 0.1861
O12 O 0.9227 0.2500 0.6484
```

Results
For the energy relative to the elements, uncorrected, the calculation gives -3.58 eV per atom. Its density is 9.66 g/cm³. The energy is -8.37 eV per atom.

---

No. 4
This record from Alexandria describes crystalline Tb3DySc3 at its relaxed geometry. The functional is PBE.

Cell and atoms, written as CIF:
```
data_Tb3DySc3
_symmetry_space_group_name_H-M 'P 1'
_symmetry_Int_Tables_number 1
_cell_length_a 9.2297
_cell_length_b 9.2297
_cell_length_c 5.4652
_cell_angle_alpha 90.00
_cell_angle_beta 90.00
_cell_angle_gamma 120.00
loop_
_symmetry_equiv_pos_as_xyz
'x,y,z'
loop_
_atom_site_label
_atom_site_type_symbol
_atom_site_fract_x
_atom_site_fract_y
_atom_site_fract_z
Tb1 Tb 0.0482 0.8026 0.2500
Tb2 Tb 0.1974 0.2456 0.2500
Tb3 Tb 0.2456 0.0482 0.7500
Tb4 Tb 0.7544 0.9518 0.2500
Tb5 Tb 0.8026 0.7544 0.7500
Tb6 Tb 0.9518 0.1974 0.7500
Dy1 Dy 0.3333 0.6667 0.2500
Dy2 Dy 0.6667 0.3333 0.7500
Sc1 Sc 0.0960 0.6142 0.7500
Sc2 Sc 0.3858 0.4818 0.7500
Sc3 Sc 0.4818 0.0960 0.2500
Sc4 Sc 0.5182 0.9040 0.7500
Sc5 Sc 0.6142 0.5182 0.2500
Sc6 Sc 0.9040 0.3858 0.2500
```

Results
The formation energy comes out at 3.0 kJ/mol of atoms. Its density is 6.38 g/cm³. As for the relative energy among the computed polymorphs: 0.0 meV per atom. The energy is -5.32 eV per atom.

---

No. 5
This record from Alexandria describes crystalline La12NdAl4N3 at its relaxed geometry. The functional is PBE.

Cell and atoms, written as CIF:
```
data_La12NdAl4N3
_symmetry_space_group_name_H-M 'P 1'
_symmetry_Int_Tables_number 1
_cell_length_a 8.9792
_cell_length_b 8.9792
_cell_length_c 8.9792
_cell_angle_alpha 109.47
_cell_angle_beta 109.47
_cell_angle_gamma 109.47
loop_
_symmetry_equiv_pos_as_xyz
'x,y,z'
loop_
_atom_site_label
_atom_site_type_symbol
_atom_site_fract_x
_atom_site_fract_y
_atom_site_fract_z
La1 La 0.0000 0.2746 0.2746
La2 La 0.0000 0.7254 0.7254
La3 La 0.2500 0.5000 0.7500
La4 La 0.2500 0.7500 0.5000
La5 La 0.2746 0.0000 0.2746
La6 La 0.2746 0.2746 0.0000
La7 La 0.5000 0.2500 0.7500
La8 La 0.5000 0.7500 0.2500
La9 La 0.7254 0.0000 0.7254
La10 La 0.7254 0.7254 0.0000
La11 La 0.7500 0.2500 0.5000
La12 La 0.7500 0.5000 0.2500
Nd1 Nd 0.0000 0.0000 0.0000
Al1 Al 0.0000 0.0000 0.5000
Al2 Al 0.0000 0.5000 0.0000
Al3 Al 0.5000 0.0000 0.0000
Al4 Al 0.5000 0.5000 0.5000
N1 N 0.0000 0.5000 0.5000
N2 N 0.5000 0.0000 0.5000
N3 N 0.5000 0.5000 0.0000
```

Results
For the energy relative to the elements, uncorrected, the calculation gives -0.43 eV per atom. Its density is 5.84 g/cm³. The energy is -5.62 eV per atom.

---

No. 6
This record from Alexandria describes crystalline AsS3N at its relaxed geometry. The functional is PBE.

Cell and atoms, written as CIF:
```
data_AsS3N
_symmetry_space_group_name_H-M 'P 1'
_symmetry_Int_Tables_number 1
_cell_length_a 4.7677
_cell_length_b 4.7677
_cell_length_c 4.7677
_cell_angle_alpha 90.00
_cell_angle_beta 90.00
_cell_angle_gamma 90.00
loop_
_symmetry_equiv_pos_as_xyz
'x,y,z'
loop_
_atom_site_label
_atom_site_type_symbol
_atom_site_fract_x
_atom_site_fract_y
_atom_site_fract_z
As1 As 0.0000 0.0000 0.0000
S1 S 0.0000 0.0000 0.5000
S2 S 0.0000 0.5000 0.0000
S3 S 0.5000 0.0000 0.0000
N1 N 0.5000 0.5000 0.5000
```

Results
For the energy relative to the elements, uncorrected, the calculation gives 1.69 eV per atom. Its density is 2.84 g/cm³. As for the relative energy among the computed polymorphs: 523.0 meV per atom. The energy is -3.38 eV per atom.

---

No. 7
This record from Alexandria describes crystalline LaReGeW2 at its relaxed geometry. The functional is PBE.

Cell and atoms, written as CIF:
```
data_LaReGeW2
_symmetry_space_group_name_H-M 'P 1'
_symmetry_Int_Tables_number 1
_cell_length_a 4.6215
_cell_length_b 4.6215
_cell_length_c 5.3197
_cell_angle_alpha 90.00
_cell_angle_beta 90.00
_cell_angle_gamma 90.00
loop_
_symmetry_equiv_pos_as_xyz
'x,y,z'
loop_
_atom_site_label
_atom_site_type_symbol
_atom_site_fract_x
_atom_site_fract_y
_atom_site_fract_z
La1 La 0.0000 0.0000 0.0000
Re1 Re 0.5000 0.5000 0.0000
Ge1 Ge 0.0000 0.0000 0.5000
W1 W 0.0000 0.5000 0.5000
W2 W 0.5000 0.0000 0.5000
```

Results
The formation energy comes out at 173.5 kJ/mol of atoms. Its density is 11.19 g/cm³. The energy is -7.78 eV per atom.

---

No. 8
This record from Alexandria describes crystalline Ba2PmZn at its relaxed geometry. The functional is PBE.

Cell and atoms, written as CIF:
```
data_Ba2PmZn
_symmetry_space_group_name_H-M 'P 1'
_symmetry_Int_Tables_number 1
_cell_length_a 12.6628
_cell_length_b 12.6628
_cell_length_c 12.6628
_cell_angle_alpha 17.79
_cell_angle_beta 17.79
_cell_angle_gamma 17.79
loop_
_symmetry_equiv_pos_as_xyz
'x,y,z'
loop_
_atom_site_label
_atom_site_type_symbol
_atom_site_fract_x
_atom_site_fract_y
_atom_site_fract_z
Ba1 Ba 0.0997 0.0997 0.0997
Ba2 Ba 0.9003 0.9003 0.9003
Pm1 Pm 0.0000 0.0000 0.0000
Zn1 Zn 0.5000 0.5000 0.5000
```

Results
The formation energy comes out at 28.8 kJ/mol of atoms. Its density is 4.87 g/cm³. The energy is -2.17 eV per atom.

---

Q: Look up the energy of the fourth one.
A: -5.32 eV per atom